Version 1
Entry from Alexandria via LeMat-Bulk: a geometry-optimized CsCoB3 structure (PBE-GGA).

Geometry as CIF:
```
data_CsCoB3
_chemical_formula_sum 'Cs1 Co1 B3'
_cell_length_a 4.687
_cell_length_b 4.687
_cell_length_c 4.687
_cell_angle_alpha 90.00
_cell_angle_beta 90.00
_cell_angle_gamma 90.00
_space_group_name_H-M_alt 'P m -3 m'
_space_group_IT_number 221
_space_group_name_Hall '-P 4 2 3'
loop_
_atom_site_label
_atom_site_type_symbol
_atom_site_fract_x
_atom_site_fract_y
_atom_site_fract_z
Cs1 Cs 0.000 0.000 0.000
Co1 Co 0.500 0.500 0.500
B1 B 0.000 0.000 0.500
```

Properties
Magnetic moment (μB/f.u.): 0.1

=====

Version 2
Entry from Alexandria via LeMat-Bulk: a geometry-optimized CsCoB3 structure (PBE-GGA).

Geometry as CIF:
```
data_CsCoB3
_chemical_formula_sum 'Cs1 Co1 B3'
_cell_length_a 4.114
_cell_length_b 4.114
_cell_length_c 4.114
_cell_angle_alpha 90.00
_cell_angle_beta 90.00
_cell_angle_gamma 90.00
_space_group_name_H-M_alt 'P m -3 m'
_space_group_IT_number 221
_space_group_name_Hall '-P 4 2 3'
loop_
_atom_site_label
_atom_site_type_symbol
_atom_site_fract_x
_atom_site_fract_y
_atom_site_fract_z
Cs1 Cs 0.000 0.000 0.000
Co1 Co 0.500 0.500 0.500
B1 B 0.000 0.500 0.500
```

Properties
Magnetic moment (μB/f.u.): 0.0

=====

Most stable of them? version 2.

=====

Version 1
Entry from Alexandria via LeMat-Bulk: a geometry-optimized Co3CuB structure (PBE-GGA).

Geometry as CIF:
```
data_Co3CuB
_chemical_formula_sum 'Co3 Cu1 B1'
_cell_length_a 4.243
_cell_length_b 4.243
_cell_length_c 4.243
_cell_angle_alpha 90.00
_cell_angle_beta 90.00
_cell_angle_gamma 90.00
_space_group_name_H-M_alt 'P m -3 m'
_space_group_IT_number 221
_space_group_name_Hall '-P 4 2 3'
loop_
_atom_site_label
_atom_site_type_symbol
_atom_site_fract_x
_atom_site_fract_y
_atom_site_fract_z
Co1 Co 0.000 0.000 0.500
Cu1 Cu 0.000 0.000 0.000
B1 B 0.500 0.500 0.500
```

Properties
Magnetic moment (μB/f.u.): 5.6

=====

Version 2
Entry from Alexandria via LeMat-Bulk: a geometry-optimized Co3CuB structure (PBE-GGA).

Geometry as CIF:
```
data_Co3CuB
_chemical_formula_sum 'Co3 Cu1 B1'
_cell_length_a 3.781
_cell_length_b 3.781
_cell_length_c 3.781
_cell_angle_alpha 90.00
_cell_angle_beta 90.00
_cell_angle_gamma 90.00
_space_group_name_H-M_alt 'P m -3 m'
_space_group_IT_number 221
_space_group_name_Hall '-P 4 2 3'
loop_
_atom_site_label
_atom_site_type_symbol
_atom_site_fract_x
_atom_site_fract_y
_atom_site_fract_z
Co1 Co 0.000 0.000 0.500
Cu1 Cu 0.500 0.500 0.500
B1 B 0.000 0.000 0.000
```

Properties
Magnetic moment (μB/f.u.): 3.0

=====

Most stable of them? version 2.

=====

Version 1
Entry from Alexandria via LeMat-Bulk: a geometry-optimized CoCu3B structure (PBE-GGA).

Geometry as CIF:
```
data_CoCu3B
_chemical_formula_sum 'Co1 Cu3 B1'
_cell_length_a 4.372
_cell_length_b 4.372
_cell_length_c 4.372
_cell_angle_alpha 90.00
_cell_angle_beta 90.00
_cell_angle_gamma 90.00
_space_group_name_H-M_alt 'P m -3 m'
_space_group_IT_number 221
_space_group_name_Hall '-P 4 2 3'
loop_
_atom_site_label
_atom_site_type_symbol
_atom_site_fract_x
_atom_site_fract_y
_atom_site_fract_z
Co1 Co 0.000 0.000 0.000
Cu1 Cu 0.000 0.000 0.500
B1 B 0.500 0.500 0.500
```

Properties
Magnetic moment (μB/f.u.): 1.8

=====

Version 2
Entry from Alexandria via LeMat-Bulk: a geometry-optimized CoCu3B structure (PBE-GGA).

Geometry as CIF:
```
data_CoCu3B
_chemical_formula_sum 'Co1 Cu3 B1'
_cell_length_a 3.888
_cell_length_b 3.888
_cell_length_c 3.888
_cell_angle_alpha 90.00
_cell_angle_beta 90.00
_cell_angle_gamma 90.00
_space_group_name_H-M_alt 'P m -3 m'
_space_group_IT_number 221
_space_group_name_Hall '-P 4 2 3'
loop_
_atom_site_label
_atom_site_type_symbol
_atom_site_fract_x
_atom_site_fract_y
_atom_site_fract_z
Co1 Co 0.000 0.000 0.000
Cu1 Cu 0.000 0.500 0.500
B1 B 0.500 0.500 0.500
```

Properties
Magnetic moment (μB/f.u.): 1.7

=====

Most stable of them? version 2.

=====

Version 1
Entry from Alexandria via LeMat-Bulk: a geometry-optimized Co2Cu2B structure (PBE-GGA).

Geometry as CIF:
```
data_Co2Cu2B
_chemical_formula_sum 'Co4 Cu4 B2'
_cell_length_a 5.141
_cell_length_b 5.141
_cell_length_c 4.076
_cell_angle_alpha 90.00
_cell_angle_beta 90.00
_cell_angle_gamma 90.00
_space_group_name_H-M_alt 'P 4/m b m'
_space_group_IT_number 127
_space_group_name_Hall '-P 4 2ab'
loop_
_atom_site_label
_atom_site_type_symbol
_atom_site_fract_x
_atom_site_fract_y
_atom_site_fract_z
Co1 Co 0.153 0.347 0.000
Cu1 Cu 0.168 0.668 0.500
B1 B 0.000 0.000 0.000
```

Properties
Magnetic moment (μB/f.u.): 1.5

=====

Version 2
Entry from Alexandria via LeMat-Bulk: a geometry-optimized Co2Cu2B structure (PBE-GGA).

Geometry as CIF:
```
data_Co2Cu2B
_chemical_formula_sum 'Co4 Cu4 B2'
_cell_length_a 3.071
_cell_length_b 3.071
_cell_length_c 12.844
_cell_angle_alpha 90.00
_cell_angle_beta 90.00
_cell_angle_gamma 90.00
_space_group_name_H-M_alt 'I 4/m m m'
_space_group_IT_number 139
_space_group_name_Hall '-I 4 2'
loop_
_atom_site_label
_atom_site_type_symbol
_atom_site_fract_x
_atom_site_fract_y
_atom_site_fract_z
Co1 Co 0.000 0.500 0.250
Cu1 Cu 0.000 0.000 0.090
B1 B 0.000 0.000 0.500
```

Properties
Magnetic moment (μB/f.u.): 3.3

=====

Most stable of them? version 1.